(1)
Entry from Alexandria: an optimized crystal structure of Ac6Sn2Hg (PBE).

Geometry as CIF:
```
data_Ac6Sn2Hg
_chemical_formula_sum 'Ac12 Sn4 Hg2'
_cell_length_a 5.600
_cell_length_b 7.958
_cell_length_c 16.754
_cell_angle_alpha 90.00
_cell_angle_beta 90.00
_cell_angle_gamma 90.00
_symmetry_space_group_name_H-M 'I m m m'
_symmetry_Int_Tables_number 71
_symmetry_space_group_name_Hall '-I 2 2'
loop_
_atom_site_label
_atom_site_type_symbol
_atom_site_fract_x
_atom_site_fract_y
_atom_site_fract_z
Ac1 Ac 0.000 0.242 0.000
Ac2 Ac 0.000 0.253 0.336
Sn1 Sn 0.000 0.500 0.167
Hg1 Hg 0.000 0.500 0.500
```

The calculation puts the calculated volume at 41.48 Å³ per atom. The energy of formation comes out at -0.2989 eV per atom. The electronic total energy is -3.961 eV/atom. The theoretical density is 8.01 g/cm3.

=====

(2)
Entry from Alexandria: an optimized crystal structure of Ac2Sn3Hg (PBE).

Geometry as CIF:
```
data_Ac2Sn3Hg
_chemical_formula_sum 'Ac4 Sn6 Hg2'
_cell_length_a 12.562
_cell_length_b 4.814
_cell_length_c 7.904
_cell_angle_alpha 90.00
_cell_angle_beta 128.92
_cell_angle_gamma 90.00
_symmetry_space_group_name_H-M 'C 1 m 1'
_symmetry_Int_Tables_number 8
_symmetry_space_group_name_Hall 'C -2y'
loop_
_atom_site_label
_atom_site_type_symbol
_atom_site_fract_x
_atom_site_fract_y
_atom_site_fract_z
Ac1 Ac 0.000 0.000 0.000
Ac2 Ac 0.121 0.000 0.620
Sn1 Sn 0.209 0.500 0.001
Sn2 Sn 0.394 0.000 0.589
Sn3 Sn 0.406 0.000 0.202
Hg1 Hg 0.218 0.500 0.408
```

The calculation puts the calculated volume at 30.99 Å³ per atom. The energy of formation comes out at -0.5483 eV per atom. The electronic total energy is -3.969 eV/atom. The theoretical density is 9.03 g/cm3.

=====

(3)
Entry from Alexandria: an optimized crystal structure of AcSnHg (PBE).

Geometry as CIF:
```
data_AcSnHg
_chemical_formula_sum 'Ac4 Sn4 Hg4'
_cell_length_a 17.554
_cell_length_b 4.771
_cell_length_c 4.720
_cell_angle_alpha 90.00
_cell_angle_beta 105.44
_cell_angle_gamma 90.00
_symmetry_space_group_name_H-M 'C 1 m 1'
_symmetry_Int_Tables_number 8
_symmetry_space_group_name_Hall 'C -2y'
loop_
_atom_site_label
_atom_site_type_symbol
_atom_site_fract_x
_atom_site_fract_y
_atom_site_fract_z
Ac1 Ac 0.000 0.000 0.000
Ac2 Ac 0.236 0.000 0.742
Sn1 Sn 0.164 0.500 0.167
Sn2 Sn 0.405 0.000 0.334
Hg1 Hg 0.070 0.500 0.574
Hg2 Hg 0.332 0.500 0.479
```

The calculation puts the calculated volume at 31.75 Å³ per atom. The energy of formation comes out at -0.5592 eV per atom. The electronic total energy is -3.364 eV/atom. The theoretical density is 9.52 g/cm3.

=====

(4)
Entry from Alexandria: an optimized crystal structure of Ac5Sn2Hg2 (PBE).

Geometry as CIF:
```
data_Ac5Sn2Hg2
_chemical_formula_sum 'Ac20 Sn8 Hg8'
_cell_length_a 17.392
_cell_length_b 8.717
_cell_length_c 8.756
_cell_angle_alpha 90.00
_cell_angle_beta 90.00
_cell_angle_gamma 90.00
_symmetry_space_group_name_H-M 'C m c e'
_symmetry_Int_Tables_number 64
_symmetry_space_group_name_Hall '-C 2ac 2'
loop_
_atom_site_label
_atom_site_type_symbol
_atom_site_fract_x
_atom_site_fract_y
_atom_site_fract_z
Ac1 Ac 0.000 0.000 0.000
Ac2 Ac 0.141 0.169 0.334
Sn1 Sn 0.203 0.000 0.000
Hg1 Hg 0.000 0.128 0.630
```

The calculation puts the calculated volume at 36.87 Å³ per atom. The energy of formation comes out at -0.5191 eV per atom. The electronic total energy is -3.758 eV/atom. The theoretical density is 8.87 g/cm3.

=====

(5)
Entry from Alexandria: an optimized crystal structure of Ac2SnHg16 (PBE).

Geometry as CIF:
```
data_Ac2SnHg16
_chemical_formula_sum 'Ac6 Sn3 Hg48'
_cell_length_a 10.2174
_cell_length_b 10.2174
_cell_length_c 17.0955
_cell_angle_alpha 90.00
_cell_angle_beta 90.00
_cell_angle_gamma 120.00
_symmetry_space_group_name_H-M 'R 3 m'
_symmetry_Int_Tables_number 160
_symmetry_space_group_name_Hall 'R 3 -2"'
loop_
_atom_site_label
_atom_site_type_symbol
_atom_site_fract_x
_atom_site_fract_y
_atom_site_fract_z
Ac1 Ac 0.0000 0.0000 0.0000
Ac2 Ac 0.0000 0.0000 0.3141
Sn1 Sn 0.0000 0.0000 0.6938
Hg1 Hg 0.0000 0.0000 0.5221
Hg2 Hg 0.0300 0.3601 0.3057
Hg3 Hg 0.1859 0.3719 0.1101
Hg4 Hg 0.2092 0.4185 0.8263
Hg5 Hg 0.2160 0.4320 0.4934
```

The calculation puts the calculated volume at 27.12 Å³ per atom. The energy of formation comes out at -0.1471 eV per atom. The electronic total energy is -1.044 eV/atom. The theoretical density is 12.19 g/cm3.

=====

(6)
Entry from Alexandria: an optimized crystal structure of Ac2Sn3Hg (PBE).

Geometry as CIF:
```
data_Ac2Sn3Hg
_chemical_formula_sum 'Ac2 Sn3 Hg1'
_cell_length_a 4.466
_cell_length_b 4.992
_cell_length_c 8.552
_cell_angle_alpha 90.00
_cell_angle_beta 90.00
_cell_angle_gamma 90.00
_symmetry_space_group_name_H-M 'P m m 2'
_symmetry_Int_Tables_number 25
_symmetry_space_group_name_Hall 'P 2 -2'
loop_
_atom_site_label
_atom_site_type_symbol
_atom_site_fract_x
_atom_site_fract_y
_atom_site_fract_z
Ac1 Ac 0.000 0.000 0.000
Ac2 Ac 0.000 0.500 0.493
Sn1 Sn 0.500 0.000 0.331
Sn2 Sn 0.500 0.000 0.669
Sn3 Sn 0.500 0.500 0.159
Hg1 Hg 0.500 0.500 0.826
```

The calculation puts the calculated volume at 31.77 Å³ per atom. The energy of formation comes out at -0.5318 eV per atom. The electronic total energy is -3.953 eV/atom. The theoretical density is 8.80 g/cm3.

=====

(7)
Entry from Alexandria: an optimized crystal structure of Ac3Sn3Hg8 (PBE).

Geometry as CIF:
```
data_Ac3Sn3Hg8
_chemical_formula_sum 'Ac6 Sn6 Hg16'
_cell_length_a 4.889
_cell_length_b 11.378
_cell_length_c 14.126
_cell_angle_alpha 90.00
_cell_angle_beta 90.00
_cell_angle_gamma 90.00
_symmetry_space_group_name_H-M 'I m m m'
_symmetry_Int_Tables_number 71
_symmetry_space_group_name_Hall '-I 2 2'
loop_
_atom_site_label
_atom_site_type_symbol
_atom_site_fract_x
_atom_site_fract_y
_atom_site_fract_z
Ac1 Ac 0.000 0.000 0.000
Ac2 Ac 0.000 0.000 0.314
Sn1 Sn 0.000 0.208 0.500
Sn2 Sn 0.000 0.500 0.000
Hg1 Hg 0.000 0.273 0.145
Hg2 Hg 0.000 0.375 0.338
```

The calculation puts the calculated volume at 28.06 Å³ per atom. The energy of formation comes out at -0.3517 eV per atom. The electronic total energy is -2.262 eV/atom. The theoretical density is 11.17 g/cm3.

=====

(8)
Entry from Alexandria: an optimized crystal structure of AcSn6Hg (PBE).

Geometry as CIF:
```
data_AcSn6Hg
_chemical_formula_sum 'Ac2 Sn12 Hg2'
_cell_length_a 6.587
_cell_length_b 11.480
_cell_length_c 6.950
_cell_angle_alpha 90.00
_cell_angle_beta 114.68
_cell_angle_gamma 90.00
_symmetry_space_group_name_H-M 'C 1 2/m 1'
_symmetry_Int_Tables_number 12
_symmetry_space_group_name_Hall '-C 2y'
loop_
_atom_site_label
_atom_site_type_symbol
_atom_site_fract_x
_atom_site_fract_y
_atom_site_fract_z
Ac1 Ac 0.000 0.000 0.000
Sn1 Sn 0.052 0.500 0.232
Sn2 Sn 0.109 0.253 0.748
Hg1 Hg 0.000 0.000 0.500
```

The calculation puts the calculated volume at 29.84 Å³ per atom. The energy of formation comes out at -0.1684 eV per atom. The electronic total energy is -3.722 eV/atom. The theoretical density is 7.93 g/cm3.

=====

(9)
Entry from Alexandria: an optimized crystal structure of AcSn3Hg3 (PBE).

Geometry as CIF:
```
data_AcSn3Hg3
_chemical_formula_sum 'Ac6 Sn18 Hg18'
_cell_length_a 9.1264
_cell_length_b 9.1264
_cell_length_c 16.7619
_cell_angle_alpha 90.00
_cell_angle_beta 90.00
_cell_angle_gamma 120.00
_symmetry_space_group_name_H-M 'R -3'
_symmetry_Int_Tables_number 148
_symmetry_space_group_name_Hall '-R 3'
loop_
_atom_site_label
_atom_site_type_symbol
_atom_site_fract_x
_atom_site_fract_y
_atom_site_fract_z
Ac1 Ac 0.0000 0.0000 0.2396
Sn1 Sn 0.0423 0.2237 0.4228
Hg1 Hg 0.0421 0.2407 0.9250
```

The calculation puts the calculated volume at 28.79 Å³ per atom. The energy of formation comes out at -0.1967 eV per atom. The electronic total energy is -2.628 eV/atom. The theoretical density is 9.76 g/cm3.

=====

(10)
Entry from Alexandria: an optimized crystal structure of Ac2Sn3Hg4 (PBE).

Geometry as CIF:
```
data_Ac2Sn3Hg4
_chemical_formula_sum 'Ac8 Sn12 Hg16'
_cell_length_a 6.613
_cell_length_b 16.929
_cell_length_c 9.178
_cell_angle_alpha 90.00
_cell_angle_beta 90.00
_cell_angle_gamma 90.00
_symmetry_space_group_name_H-M 'C m c e'
_symmetry_Int_Tables_number 64
_symmetry_space_group_name_Hall '-C 2ac 2'
loop_
_atom_site_label
_atom_site_type_symbol
_atom_site_fract_x
_atom_site_fract_y
_atom_site_fract_z
Ac1 Ac 0.000 0.120 0.070
Sn1 Sn 0.000 0.000 0.500
Sn2 Sn 0.250 0.215 0.750
Hg1 Hg 0.000 0.177 0.455
Hg2 Hg 0.250 0.040 0.750
```

The calculation puts the calculated volume at 28.54 Å³ per atom. The energy of formation comes out at -0.3708 eV per atom. The electronic total energy is -2.752 eV/atom. The theoretical density is 10.42 g/cm3.

=====

(11)
Entry from Alexandria: an optimized crystal structure of Ac2SnHg6 (PBE).

Geometry as CIF:
```
data_Ac2SnHg6
_chemical_formula_sum 'Ac4 Sn2 Hg12'
_cell_length_a 11.962
_cell_length_b 6.903
_cell_length_c 6.125
_cell_angle_alpha 90.00
_cell_angle_beta 90.08
_cell_angle_gamma 90.00
_symmetry_space_group_name_H-M 'C 1 2/m 1'
_symmetry_Int_Tables_number 12
_symmetry_space_group_name_Hall '-C 2y'
loop_
_atom_site_label
_atom_site_type_symbol
_atom_site_fract_x
_atom_site_fract_y
_atom_site_fract_z
Ac1 Ac 0.167 0.000 0.314
Sn1 Sn 0.000 0.500 0.500
Hg1 Hg 0.091 0.226 0.826
Hg2 Hg 0.183 0.500 0.175
```

The calculation puts the calculated volume at 28.10 Å³ per atom. The energy of formation comes out at -0.3622 eV per atom. The electronic total energy is -1.921 eV/atom. The theoretical density is 11.66 g/cm3.

=====

(12)
Entry from Alexandria: an optimized crystal structure of Ac4Sn5Hg3 (PBE).

Geometry as CIF:
```
data_Ac4Sn5Hg3
_chemical_formula_sum 'Ac8 Sn10 Hg6'
_cell_length_a 15.513
_cell_length_b 5.160
_cell_length_c 13.596
_cell_angle_alpha 90.00
_cell_angle_beta 122.01
_cell_angle_gamma 90.00
_symmetry_space_group_name_H-M 'C 1 2/m 1'
_symmetry_Int_Tables_number 12
_symmetry_space_group_name_Hall '-C 2y'
loop_
_atom_site_label
_atom_site_type_symbol
_atom_site_fract_x
_atom_site_fract_y
_atom_site_fract_z
Ac1 Ac 0.118 0.000 0.472
Ac2 Ac 0.246 0.000 0.825
Sn1 Sn 0.000 0.500 0.000
Sn2 Sn 0.062 0.500 0.632
Sn3 Sn 0.236 0.000 0.329
Hg1 Hg 0.000 0.000 0.000
Hg2 Hg 0.126 0.500 0.885
```

The calculation puts the calculated volume at 38.45 Å³ per atom. The energy of formation comes out at -0.3007 eV per atom. The electronic total energy is -3.414 eV/atom. The theoretical density is 7.57 g/cm3.